Record 1
PBE Nd2MnGe3Pd4, relaxed; final energy = -0.22214 Ha/atom; total moment = 4.0 μB/cell; crystal system = tetragonal; V = 193 Å³/cell; N(E_F) = 7.122 states/eV/f.u.
1.0
4.3347 0.0000 0.0000
0.0000 4.3347 0.0000
0.0000 0.0000 10.2742
Nd Mn Ge Pd
2 1 3 4
direct
0.0000 0.5000 0.2503 Nd
0.5000 0.0000 0.7497 Nd
0.0000 0.0000 0.5000 Mn
0.0000 0.5000 0.8714 Ge
0.5000 0.0000 0.1286 Ge
0.5000 0.5000 0.5000 Ge
0.0000 0.0000 0.0000 Pd
0.0000 0.5000 0.6332 Pd
0.5000 0.0000 0.3668 Pd
0.5000 0.5000 0.0000 Pd

=====

Record 2
PBE Nd2MnGe4Pt3, relaxed; final energy = -0.23362 Ha/atom; total moment = 3.3 μB/cell; crystal system = tetragonal; V = 193 Å³/cell; N(E_F) = 5.613 states/eV/f.u.
1.0
4.2856 0.0000 0.0000
0.0000 4.2856 0.0000
0.0000 0.0000 10.4825
Nd Mn Ge Pt
2 1 4 3
direct
0.0000 0.5000 0.2494 Nd
0.5000 0.0000 0.7506 Nd
0.0000 0.0000 0.5000 Mn
0.0000 0.0000 0.0000 Ge
0.0000 0.5000 0.6334 Ge
0.5000 0.0000 0.3666 Ge
0.5000 0.5000 0.0000 Ge
0.0000 0.5000 0.8719 Pt
0.5000 0.0000 0.1281 Pt
0.5000 0.5000 0.5000 Pt

=====

Record 3
PBE NdMnGe2Pt5, relaxed; final energy = -0.23600 Ha/atom; total moment = 4.4 μB/cell; crystal system = tetragonal; V = 182 Å³/cell; N(E_F) = 4.932 states/eV/f.u.
1.0
4.1128 0.0000 0.0000
0.0000 4.1128 0.0000
0.0000 0.0000 10.7708
Nd Mn Ge Pt
1 1 2 5
direct
0.0000 0.0000 0.0000 Nd
0.0000 0.0000 0.5000 Mn
0.5000 0.5000 0.2251 Ge
0.5000 0.5000 0.7749 Ge
0.0000 0.5000 0.3507 Pt
0.0000 0.5000 0.6493 Pt
0.5000 0.0000 0.3507 Pt
0.5000 0.0000 0.6493 Pt
0.5000 0.5000 0.0000 Pt